Below is a geometry-optimized Na3Tm2CoO6 structure, with properties calculated at the PBE with a Hubbard U level.

Values from the calculation:
DFT total energy (eV/f.u.): -75.01
Total moment (μB/f.u.): 3.95

a = 5.6194 Å, b = 5.6194 Å, c = 5.8442 Å
α = 99.22°, β = 99.22°, γ = 119.67°
With the nearest neighbours (Å) after each atom.
Fractional positions:
Na (0.1566, 0.8434, 0.5000)  6 O 2.39-2.64
Na (0.8434, 0.1566, 0.5000)  6 O 2.39-2.64
Na (0.5000, 0.5000, 0.5000)  6 O 2.44-2.52
Tm (0.3334, 0.6666, 0.0000)  6 O 2.23-2.25
Tm (0.6666, 0.3334, 0.0000)  6 O 2.23-2.25
Co (0.0000, 0.0000, 0.0000)  6 O 2.10-2.16
O (0.9309, 0.6189, 0.7937)  1 Co 2.10, 2 Tm 2.25
O (0.7463, 0.7463, 0.2088)  1 Co 2.16, 2 Tm 2.23, 2 Na 2.39
O (0.0691, 0.3811, 0.2063)  1 Co 2.10, 2 Tm 2.25
O (0.6189, 0.9309, 0.7937)  1 Co 2.10, 2 Tm 2.25
O (0.2537, 0.2537, 0.7912)  1 Co 2.16, 2 Tm 2.23, 2 Na 2.39
O (0.3811, 0.0691, 0.2063)  1 Co 2.10, 2 Tm 2.25